Density functional theory data (PBE) for an optimized crystal structure of MnAuSe2.

```
data_MnAuSe2
_cell_length_a 6.638
_cell_length_b 3.852
_cell_length_c 6.832
_cell_angle_alpha 90.00
_cell_angle_beta 108.32
_cell_angle_gamma 90.00
_space_group_name_H-M_alt 'P 1 21/m 1'
_space_group_IT_number 11
loop_
_space_group_symop_operation_xyz
'x,y,z'
'-x,-y,-z'
'-x,y+1/2,-z'
'x,-y+1/2,z'
loop_
_atom_site_label
_atom_site_fract_x
_atom_site_fract_y
_atom_site_fract_z
Mn1 0.127 0.250 0.109
Au1 0.337 0.750 0.955
Se1 0.015 0.750 0.252
Se2 0.472 0.250 0.333
```

Computed properties:
energy relative to the elements, uncorrected = -0.09 eV/atom



Density functional theory data (PBE) for an optimized crystal structure of TaCr2Mo.

```
data_TaCr2Mo
_cell_length_a 4.325
_cell_length_b 4.325
_cell_length_c 3.059
_cell_angle_alpha 90.00
_cell_angle_beta 90.00
_cell_angle_gamma 90.00
_space_group_name_H-M_alt 'P 4/m m m'
_space_group_IT_number 123
_space_group_name_Hall '-P 4 2'
loop_
_atom_site_label
_atom_site_fract_x
_atom_site_fract_y
_atom_site_fract_z
Ta1 0.000 0.000 0.000
Cr1 0.000 0.500 0.500
Mo1 0.500 0.500 0.000
```

Computed properties:
ΔH_f (0 K) = -0.02 eV per atom
energy above the most stable polymorph in this dataset = 3 meV/atom



no.,calculated volume (Å³/f.u.),density of states at the Fermi level (states/eV per cell)
1,83,5.70
2,57,2.26